Record 1
{"formula": "CaNd5Te4", "functional": "PBE", "state": "relaxed", "lattice": [[4.3284, 0.0000, 0.0000], [0.0000, 8.7251, -0.3439], [-2.1642, -1.6060, 9.3060]], "species": ["Ca", "Nd", "Nd", "Nd", "Nd", "Nd", "Te", "Te", "Te", "Te"], "fractional_positions": [[0.5000, 0.0000, 0.0000], [0.8166, 0.6445, 0.6333], [0.8327, 0.1917, 0.6655], [0.1673, 0.8083, 0.3345], [0.5000, 0.5000, 0.0000], [0.1834, 0.3555, 0.3667], [0.3349, 0.9253, 0.6698], [0.9928, 0.7508, 0.9856], [0.6651, 0.0747, 0.3302], [0.0072, 0.2492, 0.0144]], "dos_ef_per_ev_atom": 0.85, "formation_energy_uncorrected_ev_per_atom": -1.0287}

Record 2
{"formula": "CaNdTe2", "functional": "PBE", "state": "relaxed", "lattice": [[4.3732, 0.0000, 0.0000], [2.1866, 3.7873, 0.0000], [2.1866, 1.2624, 7.9069]], "species": ["Ca", "Nd", "Te", "Te"], "fractional_positions": [[0.4969, 0.4969, 0.5092], [0.6686, 0.6686, 0.9941], [0.0837, 0.0837, 0.7490], [0.2508, 0.2508, 0.2477]], "dos_ef_per_ev_atom": 0.66, "relative_energy_mev_per_atom": 66.4, "formation_energy_uncorrected_ev_per_atom": -1.4483}

Record 3
{"formula": "CaNd4Te6", "functional": "PBE", "state": "relaxed", "lattice": [[4.4426, 0.0000, 0.0000], [-2.2213, 7.3655, 0.0000], [0.0000, 0.0000, 23.0439]], "species": ["Ca", "Ca", "Nd", "Nd", "Nd", "Nd", "Nd", "Nd", "Nd", "Nd", "Te", "Te", "Te", "Te", "Te", "Te", "Te", "Te", "Te", "Te", "Te", "Te"], "fractional_positions": [[0.6597, 0.3194, 0.2500], [0.3403, 0.6806, 0.7500], [0.8592, 0.7185, 0.5384], [0.4124, 0.8249, 0.1295], [0.1408, 0.2815, 0.4616], [0.5876, 0.1751, 0.8705], [0.8592, 0.7185, 0.9616], [0.1408, 0.2815, 0.0384], [0.5876, 0.1751, 0.6295], [0.4124, 0.8249, 0.3705], [0.5000, 0.0000, 0.0000], [0.5000, 0.0000, 0.5000], [0.0537, 0.1074, 0.3341], [0.9463, 0.8926, 0.6659], [0.9463, 0.8926, 0.8341], [0.0537, 0.1074, 0.1659], [0.7705, 0.5410, 0.4099], [0.2295, 0.4590, 0.5901], [0.2295, 0.4590, 0.9099], [0.7705, 0.5410, 0.0901], [0.3130, 0.6259, 0.2500], [0.6870, 0.3741, 0.7500]], "dos_ef_per_ev_atom": 0.34, "formation_energy_uncorrected_ev_per_atom": -1.4575}

Record 4
{"formula": "CaNd2ThTe4", "functional": "PBE", "state": "relaxed", "lattice": [[4.4307, 0.0000, 0.0000], [0.0000, 7.6887, -0.1599], [0.0000, 2.7031, 7.4435]], "species": ["Ca", "Nd", "Nd", "Th", "Te", "Te", "Te", "Te"], "fractional_positions": [[0.5000, 0.5000, 0.0000], [0.0000, 0.0000, 0.0000], [0.5000, 0.0000, 0.5000], [0.0000, 0.5000, 0.5000], [0.0000, 0.7443, 0.7549], [0.0000, 0.2557, 0.2451], [0.5000, 0.7469, 0.2468], [0.5000, 0.2531, 0.7532]], "dos_ef_per_ev_atom": 0.63, "formation_energy_uncorrected_ev_per_atom": -1.3474}

Record 5
{"formula": "Ca2NdTlTe4", "functional": "PBE", "state": "relaxed", "lattice": [[-2.4116, -3.6698, -1.3178], [6.3081, -2.8067, -3.7281], [4.2027, -4.6101, 5.1470]], "species": ["Ca", "Ca", "Nd", "Tl", "Te", "Te", "Te", "Te"], "fractional_positions": [[0.0000, 0.0000, 0.0000], [0.5000, 0.0000, 0.5000], [0.0000, 0.5000, 0.5000], [0.5000, 0.5000, 0.0000], [0.0000, 0.7622, 0.7314], [0.0000, 0.2378, 0.2686], [0.5000, 0.7524, 0.2592], [0.5000, 0.2476, 0.7408]], "dos_ef_per_ev_atom": 0.01, "formation_energy_uncorrected_ev_per_atom": -1.3063}

Record 6
{"formula": "Ca3NdTm2Te6", "functional": "PBE", "state": "relaxed", "lattice": [[-0.5072, -3.1875, -2.9768], [8.0492, -3.2552, 2.1142], [-5.8691, -3.0144, 7.4659]], "species": ["Ca", "Ca", "Ca", "Nd", "Tm", "Tm", "Te", "Te", "Te", "Te", "Te", "Te"], "fractional_positions": [[0.5000, 0.5000, 0.0000], [0.8367, 0.1683, 0.6734], [0.1633, 0.8317, 0.3266], [0.5000, 0.0000, 0.0000], [0.8374, 0.6753, 0.6748], [0.1626, 0.3247, 0.3252], [0.3299, 0.9099, 0.6599], [0.6712, 0.5744, 0.3423], [0.6701, 0.0901, 0.3401], [0.0021, 0.2576, 0.0042], [0.9979, 0.7424, 0.9958], [0.3288, 0.4256, 0.6577]], "dos_ef_per_ev_atom": 0.42, "formation_energy_uncorrected_ev_per_atom": -1.4418}